# 1
La3TbAg4 after structural relaxation. Source: the Alexandria database, functional GGA-PBE.

Unit cell a=3.7560 b=3.7560 c=15.3067 alpha=90.00 beta=90.00 gamma=90.00
Fractional positions:
La: 0.0000 0.0000 0.0000
La: 0.0000 0.0000 0.2556
La: 0.0000 0.0000 0.7444
Tb: 0.0000 0.0000 0.5000
Ag: 0.5000 0.5000 0.1276
Ag: 0.5000 0.5000 0.3898
Ag: 0.5000 0.5000 0.6102
Ag: 0.5000 0.5000 0.8724

## Properties
SG	No. 123
ΔH_f (0 K)	-209	kJ/mol of formula units

---

# 2
MnAs2W after structural relaxation. Source: the Alexandria database, functional GGA-PBE.

Unit cell a=4.4520 b=4.4520 c=4.9335 alpha=95.08 beta=95.08 gamma=42.00
Fractional positions:
Mn: 0.0000 0.0000 0.0000
As: 0.2276 0.2276 0.7302
As: 0.7724 0.7724 0.2698
W: 0.5000 0.5000 0.5000

## Properties
energy above the lowest structure with this stoichiometry	239.5	meV/atom
SG	No. 12
ΔH_f (0 K)	97	kJ/mol of formula units

---

# 3
CsCaSbH2 after structural relaxation. Source: the Alexandria database, functional GGA-PBE.

Unit cell a=4.2903 b=4.6226 c=7.6624 alpha=90.64 beta=102.80 gamma=90.03
Fractional positions:
Cs: 0.0000 0.0000 0.0000
Ca: 0.2884 0.4916 0.5703
Sb: 0.7403 0.9890 0.4629
H: 0.4214 0.4973 0.8662
H: 0.5144 0.9934 0.6304

## Properties
energy above the lowest structure with this stoichiometry	37.8	meV/atom
SG	No. 1

---

# 4
PrNdThMg after structural relaxation. Source: the Alexandria database, functional GGA-PBE.

Unit cell a=5.6521 b=5.6521 c=5.6521 alpha=60.00 beta=60.00 gamma=60.00
Fractional positions:
Pr: 0.0000 0.0000 0.0000
Nd: 0.5000 0.5000 0.5000
Th: 0.2500 0.2500 0.2500
Mg: 0.7500 0.7500 0.7500

## Properties
SG	No. 216
ΔH_f (0 K)	55	kJ/mol of formula units

---

# 5
Pm2AsN4 after structural relaxation. Source: the Alexandria database, functional GGA-PBE.

Unit cell a=7.1243 b=5.5895 c=10.1080 alpha=90.00 beta=90.00 gamma=90.00
Fractional positions:
Pm: 0.0020 0.2500 0.1957
Pm: 0.1401 0.7500 0.4394
Pm: 0.3599 0.2500 0.9394
Pm: 0.4980 0.7500 0.6957
Pm: 0.5020 0.2500 0.3043
Pm: 0.6401 0.7500 0.0606
Pm: 0.8599 0.2500 0.5606
Pm: 0.9980 0.7500 0.8043
As: 0.2105 0.7500 0.0746
As: 0.2895 0.2500 0.5746
As: 0.7105 0.7500 0.4254
As: 0.7895 0.2500 0.9254
N: 0.0389 0.2500 0.9333
N: 0.1810 0.2500 0.4109
N: 0.1859 0.5088 0.6515
N: 0.1859 0.9912 0.6515
N: 0.3141 0.0088 0.1515
N: 0.3141 0.4912 0.1515
N: 0.3190 0.7500 0.9109
N: 0.4611 0.7500 0.4333
N: 0.5389 0.2500 0.5667
N: 0.6810 0.2500 0.0891
N: 0.6859 0.5088 0.8485
N: 0.6859 0.9912 0.8485
N: 0.8141 0.0088 0.3485
N: 0.8141 0.4912 0.3485
N: 0.8190 0.7500 0.5891
N: 0.9611 0.7500 0.0667

## Properties
formation energy (no corrections)	-0.540	eV/atom
SG	No. 62

---

# 6
CsLiInCl3 after structural relaxation. Source: the Alexandria database, functional GGA-PBE.

Unit cell a=8.4359 b=8.4359 c=7.1594 alpha=97.56 beta=97.56 gamma=128.79
Fractional positions:
Cs: 0.2488 0.7512 0.7500
Cs: 0.7512 0.2488 0.2500
Li: 0.4531 0.5469 0.2500
Li: 0.5469 0.4531 0.7500
In: 0.0793 0.9207 0.2500
In: 0.9207 0.0793 0.7500
Cl: 0.2275 0.3237 0.5041
Cl: 0.2967 0.7033 0.2500
Cl: 0.3237 0.2275 0.0041
Cl: 0.6763 0.7725 0.9959
Cl: 0.7033 0.2967 0.7500
Cl: 0.7725 0.6763 0.4959

## Properties
formation energy (no corrections)	-1.495	eV/atom
SG	No. 15

---

# 7
RbCoRu after structural relaxation. Source: the Alexandria database, functional GGA-PBE.

Unit cell a=3.7693 b=3.7693 c=11.9678 alpha=90.00 beta=90.00 gamma=120.00
Fractional positions:
Rb: 0.0000 0.0000 0.0000
Rb: 0.0000 0.0000 0.5000
Co: 0.3333 0.6667 0.2806
Co: 0.6667 0.3333 0.7806
Ru: 0.3333 0.6667 0.7332
Ru: 0.6667 0.3333 0.2332

## Properties
energy above the lowest structure with this stoichiometry	372.3	meV/atom
SG	No. 186
ΔH_f (0 K)	291	kJ/mol of formula units

---

# 8
AuCl3 after structural relaxation. Source: the Alexandria database, functional GGA-PBE.

Unit cell a=7.5789 b=7.5789 c=3.6791 alpha=90.00 beta=90.00 gamma=144.57
Fractional positions:
Au: 0.0000 0.0000 0.0000
Cl: 0.0000 0.5000 0.5000
Cl: 0.5000 0.0000 0.5000
Cl: 0.5000 0.5000 0.0000

## Properties
formation energy (no corrections)	0.141	eV/atom
SG	No. 65

---

# 9
NaGe3Au3 after structural relaxation. Source: the Alexandria database, functional GGA-PBE.

Unit cell a=7.2112 b=7.2112 c=7.2112 alpha=90.00 beta=90.00 gamma=90.00
Fractional positions:
Na: 0.0000 0.0000 0.0000
Na: 0.5000 0.5000 0.5000
Ge: 0.0000 0.2500 0.5000
Ge: 0.0000 0.7500 0.5000
Ge: 0.2500 0.5000 0.0000
Ge: 0.5000 0.0000 0.2500
Ge: 0.5000 0.0000 0.7500
Ge: 0.7500 0.5000 0.0000
Au: 0.0000 0.5000 0.2500
Au: 0.0000 0.5000 0.7500
Au: 0.2500 0.0000 0.5000
Au: 0.5000 0.2500 0.0000
Au: 0.5000 0.7500 0.0000
Au: 0.7500 0.0000 0.5000

## Properties
SG	No. 223
ΔH_f (0 K)	42	kJ/mol of formula units

---

# 10
AlTl2Ge2O6 after structural relaxation. Source: the Alexandria database, functional GGA-PBE.

Unit cell a=5.5041 b=5.5041 c=6.7566 alpha=118.10 beta=118.10 gamma=61.13
Fractional positions:
Al: 0.0000 0.0000 0.0000
Tl: 0.1988 0.1988 0.6719
Tl: 0.8012 0.8012 0.3281
Ge: 0.4535 0.4535 0.2839
Ge: 0.5465 0.5465 0.7161
O: 0.1973 0.6957 0.7642
O: 0.2320 0.2320 0.0867
O: 0.3043 0.8027 0.2358
O: 0.6957 0.1973 0.7642
O: 0.7680 0.7680 0.9133
O: 0.8027 0.3043 0.2358

## Properties
formation energy (no corrections)	-1.417	eV/atom
SG	No. 12

---

# 11
CaCr2OsRu after structural relaxation. Source: the Alexandria database, functional GGA-PBE.

Unit cell a=4.5908 b=4.5908 c=5.2675 alpha=90.00 beta=90.00 gamma=90.00
Fractional positions:
Ca: 0.0000 0.0000 0.0000
Cr: 0.0000 0.5000 0.5000
Cr: 0.5000 0.0000 0.5000
Os: 0.0000 0.0000 0.5000
Ru: 0.5000 0.5000 0.0000

## Properties
SG	No. 123
ΔH_f (0 K)	730	kJ/mol of formula units

---

# 12
Sr2ScMo after structural relaxation. Source: the Alexandria database, functional GGA-PBE.

Unit cell a=5.5314 b=5.5314 c=5.5314 alpha=123.09 beta=123.09 gamma=84.73
Fractional positions:
Sr: 0.0000 0.0000 0.0000
Sr: 0.7500 0.2500 0.5000
Sc: 0.5000 0.5000 0.0000
Mo: 0.2500 0.7500 0.5000

## Properties
energy above the lowest structure with this stoichiometry	381.2	meV/atom
SG	No. 119
ΔH_f (0 K)	325	kJ/mol of formula units

---

# 13
TaTiMoW after structural relaxation. Source: the Alexandria database, functional GGA-PBE.

Unit cell a=3.2110 b=4.5217 c=4.5427 alpha=90.00 beta=90.00 gamma=90.00
Fractional positions:
Ta: 0.0000 0.0000 0.0000
Ti: 0.0000 0.5000 0.5000
Mo: 0.5000 0.0000 0.5000
W: 0.5000 0.5000 0.0000

## Properties
energy above the lowest structure with this stoichiometry	5.7	meV/atom
SG	No. 47
ΔH_f (0 K)	-26	kJ/mol of formula units

---

# 14
InPt3Se after structural relaxation. Source: the Alexandria database, functional GGA-PBE.

Unit cell a=4.7566 b=4.7566 c=4.7566 alpha=90.00 beta=90.00 gamma=90.00
Fractional positions:
In: 0.0000 0.0000 0.0000
Pt: 0.0000 0.5000 0.5000
Pt: 0.5000 0.0000 0.5000
Pt: 0.5000 0.5000 0.0000
Se: 0.5000 0.5000 0.5000

## Properties
energy above the lowest structure with this stoichiometry	0.0	meV/atom
formation energy (no corrections)	0.416	eV/atom
SG	No. 221

---

# 15
HoSc2Hg2 after structural relaxation. Source: the Alexandria database, functional GGA-PBE.

Unit cell a=13.1766 b=13.1766 c=5.0616 alpha=90.00 beta=90.00 gamma=164.26
Fractional positions:
Ho: 0.1472 0.8528 0.7500
Ho: 0.8528 0.1472 0.2500
Sc: 0.0487 0.9513 0.2500
Sc: 0.2383 0.7617 0.2500
Sc: 0.7617 0.2383 0.7500
Sc: 0.9513 0.0487 0.7500
Hg: 0.3529 0.6471 0.7500
Hg: 0.4563 0.5437 0.2500
Hg: 0.5437 0.4563 0.7500
Hg: 0.6471 0.3529 0.2500

## Properties
energy above the lowest structure with this stoichiometry	0.0	meV/atom
SG	No. 63
ΔH_f (0 K)	-170	kJ/mol of formula units

---

# 16
FeHgSbP2 after structural relaxation. Source: the Alexandria database, functional GGA-PBE.

Unit cell a=4.8843 b=4.8843 c=5.6915 alpha=90.00 beta=90.00 gamma=90.00
Fractional positions:
Fe: 0.0000 0.0000 0.0000
Hg: 0.5000 0.5000 0.5000
Sb: 0.5000 0.5000 0.0000
P: 0.0000 0.5000 0.5000
P: 0.5000 0.0000 0.5000

## Properties
formation energy (no corrections)	1.603	eV/atom
SG	No. 123

---

# 17
KLiZrF6 after structural relaxation. Source: the Alexandria database, functional GGA-PBE.

Unit cell a=5.5100 b=5.5100 c=5.7375 alpha=90.00 beta=90.00 gamma=120.00
Fractional positions:
K: 0.0000 0.0000 0.0000
Li: 0.3333 0.6667 0.5000
Zr: 0.6667 0.3333 0.5000
F: 0.3818 0.0062 0.6985
F: 0.3818 0.3757 0.3015
F: 0.6243 0.0062 0.3015
F: 0.6243 0.6182 0.6985
F: 0.9938 0.3757 0.6985
F: 0.9938 0.6182 0.3015

## Properties
formation energy (no corrections)	-3.392	eV/atom
SG	No. 149

---

# 18
CsPt2S2 after structural relaxation. Source: the Alexandria database, functional GGA-PBE.

Unit cell a=6.4791 b=7.4130 c=7.4280 alpha=114.52 beta=115.68 gamma=91.50
Fractional positions:
Cs: 0.1516 0.2464 0.4898
Cs: 0.8484 0.7536 0.5102
Pt: 0.1704 0.4035 0.0591
Pt: 0.3942 0.9089 0.0707
Pt: 0.6058 0.0911 0.9293
Pt: 0.8296 0.5965 0.9409
S: 0.2266 0.7564 0.2000
S: 0.4677 0.2579 0.1810
S: 0.5323 0.7421 0.8190
S: 0.7734 0.2436 0.8000

## Properties
energy above the lowest structure with this stoichiometry	0.0	meV/atom
formation energy (no corrections)	-0.539	eV/atom
SG	No. 2

---

# 19
Pm2DyOs after structural relaxation. Source: the Alexandria database, functional GGA-PBE.

Unit cell a=11.1168 b=11.1168 c=11.1168 alpha=18.40 beta=18.40 gamma=18.40
Fractional positions:
Pm: 0.1059 0.1059 0.1059
Pm: 0.8941 0.8941 0.8941
Dy: 0.0000 0.0000 0.0000
Os: 0.5000 0.5000 0.5000

## Properties
energy above the lowest structure with this stoichiometry	541.3	meV/atom
SG	No. 166
ΔH_f (0 K)	145	kJ/mol of formula units

---

# 20
Be6Au after structural relaxation. Source: the Alexandria database, functional GGA-PBE.

Unit cell a=4.9750 b=4.9750 c=4.9750 alpha=109.47 beta=109.47 gamma=109.47
Fractional positions:
Be: 0.2500 0.5000 0.7500
Be: 0.2500 0.7500 0.5000
Be: 0.5000 0.2500 0.7500
Be: 0.5000 0.7500 0.2500
Be: 0.7500 0.2500 0.5000
Be: 0.7500 0.5000 0.2500
Au: 0.0000 0.0000 0.0000

## Properties
SG	No. 229
ΔH_f (0 K)	891	kJ/mol of formula units

---

# 21
RbTlAg2 after structural relaxation. Source: the Alexandria database, functional GGA-PBE.

Unit cell a=10.6276 b=10.6276 c=10.6276 alpha=149.70 beta=149.70 gamma=43.38
Fractional positions:
Rb: 0.3750 0.6250 0.7500
Rb: 0.6250 0.3750 0.2500
Tl: 0.1250 0.8750 0.2500
Tl: 0.8750 0.1250 0.7500
Ag: 0.0000 0.0000 0.0000
Ag: 0.0000 0.0000 0.5000
Ag: 0.0000 0.5000 0.0000
Ag: 0.5000 0.0000 0.5000

## Properties
energy above the lowest structure with this stoichiometry	118.2	meV/atom
SG	No. 141
ΔH_f (0 K)	52	kJ/mol of formula units

---

# 22
InFePS2 after structural relaxation. Source: the Alexandria database, functional GGA-PBE.

Unit cell a=4.9803 b=4.9803 c=4.9904 alpha=90.00 beta=90.00 gamma=90.00
Fractional positions:
In: 0.0000 0.0000 0.0000
Fe: 0.5000 0.5000 0.5000
P: 0.0000 0.0000 0.5000
S: 0.0000 0.5000 0.0000
S: 0.5000 0.0000 0.0000

## Properties
energy above the lowest structure with this stoichiometry	906.2	meV/atom
formation energy (no corrections)	1.145	eV/atom
SG	No. 123

---

# 23
LiAlIrRu after structural relaxation. Source: the Alexandria database, functional GGA-PBE.

Unit cell a=4.2605 b=4.2605 c=4.2605 alpha=60.00 beta=60.00 gamma=60.00
Fractional positions:
Li: 0.0000 0.0000 0.0000
Al: 0.2500 0.2500 0.2500
Ir: 0.5000 0.5000 0.5000
Ru: 0.7500 0.7500 0.7500

## Properties
energy above the lowest structure with this stoichiometry	31.2	meV/atom
SG	No. 216
ΔH_f (0 K)	-106	kJ/mol of formula units

---

# 24
RbNb3Tl after structural relaxation. Source: the Alexandria database, functional GGA-PBE.

Unit cell a=5.5203 b=5.5203 c=5.5203 alpha=90.00 beta=90.00 gamma=90.00
Fractional positions:
Rb: 0.0000 0.0000 0.0000
Nb: 0.0000 0.5000 0.5000
Nb: 0.5000 0.0000 0.5000
Nb: 0.5000 0.5000 0.0000
Tl: 0.5000 0.5000 0.5000

## Properties
energy above the lowest structure with this stoichiometry	0.0	meV/atom
SG	No. 221
ΔH_f (0 K)	1040	kJ/mol of formula units

---

# 25
In4Sn5 after structural relaxation. Source: the Alexandria database, functional GGA-PBE.

Unit cell a=7.6570 b=7.6570 c=7.6570 alpha=95.33 beta=95.33 gamma=144.51
Fractional positions:
In: 0.1667 0.1667 0.3333
In: 0.1667 0.8333 0.0000
In: 0.8333 0.1667 0.0000
In: 0.8333 0.8333 0.6667
Sn: 0.1657 0.5000 0.6657
Sn: 0.5000 0.1657 0.6657
Sn: 0.5000 0.5000 0.0000
Sn: 0.5000 0.8343 0.3343
Sn: 0.8343 0.5000 0.3343

## Properties
energy above the lowest structure with this stoichiometry	5.4	meV/atom
SG	No. 139
ΔH_f (0 K)	33	kJ/mol of formula units

---

Result set for total DFT energy (no corrections): -4.12; -7.60; -3.10; -4.50; -7.32; -3.34; -4.78; -2.06; -3.51; -5.73; -6.84; -4.29; -10.95; -4.45; -3.92; -3.14; -5.92; -4.78; -5.96; -2.34; -2.12; -3.83; -6.22; -4.55; -3.40 eV per atom, one per record in the order listed.
Result set for magnetic moment: 0.018; 3.291; 0.000; 0.001; 0.000; 0.000; 0.000; 0.000; 0.000; 0.000; 6.279; 1.069; 0.000; 0.000; 0.000; 3.218; 0.098; 0.000; 0.003; 0.000; 0.000; 4.133; 0.001; 9.444; 0.000 μB/f.u., one per record in the order listed.